Compound: TbPuP2
Source: Alexandria via LeMat-Bulk
Functional: PBE
Structure: relaxed

The structure in POSCAR format:
```
TbPuP2
1.0
-0.7886 -2.6833 -2.8852
2.2028 -0.0428 -3.3604
4.6075 -5.0969 0.6827
Pu P Tb
1 2 1
Direct
0.5000 0.5000 0.5000
0.2476 0.2476 0.2571
0.7524 0.7524 0.7429
0.0000 0.0000 0.0000
```

Total moment ... 4.915 Bohr magnetons per cell
E_form ... -1384 meV per atom
Calculated volume ... 22.73 Å³/atom


Compound: TbPuP2
Source: Alexandria via LeMat-Bulk
Functional: PBE
Structure: relaxed

The structure in POSCAR format:
```
TbPuP2
1.0
3.9880 0.0000 0.0000
1.9940 3.4537 0.0000
1.9940 1.1512 6.7387
Tb Pu P
1 1 2
Direct
0.4973 0.4973 0.5082
0.6694 0.6694 0.9917
0.2531 0.2531 0.2406
0.0802 0.0802 0.7594
```

Total moment ... 4.973 Bohr magnetons per cell
E_form ... -1218 meV per atom
Calculated volume ... 23.20 Å³/atom


Compound: Tb2PuP
Source: Alexandria via LeMat-Bulk
Functional: PBE
Structure: relaxed

The structure in POSCAR format:
```
Tb2PuP
1.0
3.7121 0.0000 0.0000
1.8561 3.2148 0.0000
1.8561 1.0716 10.1418
P Tb Pu
1 2 1
Direct
0.5000 0.5000 0.5000
0.1120 0.1120 0.6641
0.8880 0.8880 0.3359
0.0000 0.0000 0.0000
```

Total moment ... 6.346 Bohr magnetons per cell
E_form ... -392 meV per atom
Calculated volume ... 30.26 Å³/atom


Compound: Tb4PuP5
Source: Alexandria via LeMat-Bulk
Functional: PBE
Structure: relaxed

The structure in POSCAR format:
```
Tb4PuP5
1.0
5.1147 0.0000 2.4669
2.5573 6.3555 1.2335
-0.2037 0.0000 6.9579
Pu Tb P
1 4 5
Direct
0.0011 0.0000 0.0000
0.4015 0.4005 0.7985
0.2000 0.2015 0.4005
0.6005 0.5995 0.2015
0.8020 0.7985 0.5995
0.5012 0.0000 0.0000
0.7046 0.1983 0.3945
0.0991 0.6055 0.1983
0.2974 0.8017 0.6055
0.9029 0.3945 0.8017
```

Total moment ... 4.848 Bohr magnetons per cell
E_form ... -1511 meV per atom
Calculated volume ... 22.94 Å³/atom